[1]
Compound: NpInTcOs
Source: Alexandria via LeMat-Bulk
Functional: PBE
Structure: optimized geometry

a = 6.6207 Å, b = 6.6207 Å, c = 6.6207 Å
α = 90.00°, β = 90.00°, γ = 90.00°
Space group F-43m (No. 216)
Unique sites:
Np  0.0000  0.0000  0.0000 [4 per cell]
In  0.0000  0.0000  0.5000 [4 per cell]
Tc  0.2500  0.2500  0.7500 [4 per cell]
Os  0.2500  0.2500  0.2500 [4 per cell]

Calculated values
Volume, A^3/atom: 18.1
ΔE_f, eV/atom: 0.174
ρ, g cm⁻³: 14.65
Density of states at the Fermi level, states/eV per cell: 22.16
M_tot, μB/f.u.: 2.3



[2]
Compound: Pr2TmScS6
Source: Alexandria via LeMat-Bulk
Functional: PBE
Structure: optimized geometry

a = 6.6230 Å, b = 7.2702 Å, c = 11.7598 Å
α = 90.00°, β = 123.69°, γ = 90.00°
Space group P2_1/c (No. 14)
Unique sites:
Pr  0.2118  0.0955  0.2487 [4 per cell]
Tm  0.5000  0.0000  0.0000 [2 per cell]
Sc  0.0000  0.0000  0.5000 [2 per cell]
S  0.1075  0.1915  0.9334 [4 per cell]
S  0.2496  0.6837  0.9342 [4 per cell]
S  0.3783  0.0431  0.7442 [4 per cell]

Calculated values
Volume, A^3/atom: 23.6
ρ, g cm⁻³: 4.85
Density of states at the Fermi level, states/eV per cell: 0.00
ΔE_f (raw), eV per atom: -2.036
M_tot, μB/f.u.: 0.0



[3]
Compound: CeB3C2
Source: Alexandria via LeMat-Bulk
Functional: PBE
Structure: optimized geometry

a = 5.3522 Å, b = 5.3522 Å, c = 5.0649 Å
α = 90.00°, β = 90.00°, γ = 120.00°
Space group P-3m1 (No. 164)
Unique sites:
Ce  0.3333  0.6667  0.1155 [2 per cell]
B  0.1741  0.3481  0.6172 [6 per cell]
C  0.0000  0.0000  0.5000 [1 per cell]
C  0.0000  0.5000  0.5000 [3 per cell]

Calculated values
Volume, A^3/atom: 10.5
ΔE_f, eV/atom: 0.406
ρ, g cm⁻³: 5.20
Density of states at the Fermi level, states/eV per cell: 3.36
M_tot, μB/f.u.: 0.0